InIrF2: optimized geometry, PBE. Values from VASP.

Summary:
The electronic total energy is -69.3 eV for the cell shown. The value obtained for the calculated density is 8.5 g/cm³. For the energy relative to the lowest polymorph listed for this composition, the calculation gives 157 kJ/mol of formula units. As for the space group: I-42d (122).

Geometry as Quantum ESPRESSO input:
```
&SYSTEM
  ibrav = 0, nat = 16, ntyp = 3
/
ATOMIC_SPECIES
In 114.82 In.upf
Ir 192.22 Ir.upf
F 19.00 F.upf
CELL_PARAMETERS angstrom
7.1262 0.0000 0.0000
0.0000 7.1262 0.0000
0.0000 0.0000 5.2929
ATOMIC_POSITIONS angstrom
In 0.0000 0.0000 0.0000
In 0.0000 3.5631 1.3232
In 3.5631 0.0000 3.9697
In 3.5631 3.5631 2.6465
Ir 0.0000 0.0000 2.6465
Ir 0.0000 3.5631 3.9697
Ir 3.5631 0.0000 1.3232
Ir 3.5631 3.5631 0.0000
F 1.1225 5.3446 3.3081
F 1.7815 1.1225 1.9848
F 1.7815 2.4406 4.6313
F 2.4406 5.3446 0.6616
F 4.6856 1.7815 0.6616
F 5.3446 4.6856 4.6313
F 5.3446 6.0037 1.9848
F 6.0037 1.7815 3.3081
```

---

Eu4Al: optimized geometry, PBE. Values from VASP.

Summary:
The electronic total energy is -86.4 eV for the cell shown. The value obtained for the calculated density is 4.8 g/cm³. For the formation energy from the elements, the calculation gives 0.331 eV/atom. As for the space group: Fd-3m (227).

Geometry as Quantum ESPRESSO input:
```
&SYSTEM
  ibrav = 0, nat = 10, ntyp = 2
/
ATOMIC_SPECIES
Eu 151.96 Eu.upf
Al 26.98 Al.upf
CELL_PARAMETERS angstrom
0.0000 6.0318 6.0318
6.0318 0.0000 6.0318
6.0318 6.0318 0.0000
ATOMIC_POSITIONS angstrom
Eu 9.2497 5.8298 5.8298
Eu 2.8139 2.8139 2.8139
Eu 6.2338 6.2338 2.8139
Eu 6.2338 2.8139 6.2338
Eu 5.8298 9.2497 5.8298
Eu 5.8298 5.8298 9.2497
Eu 9.2497 9.2497 9.2497
Eu 2.8139 6.2338 6.2338
Al 4.5238 4.5238 4.5238
Al 7.5397 7.5397 7.5397
```

---

TcAg2Ir: optimized geometry, PBE. Values from VASP.

Summary:
The electronic total energy is -22.5 eV for the cell shown. The value obtained for the calculated density is 13.0 g/cm³. For the formation energy from the elements, the calculation gives 0.613 eV/atom. For the energy relative to the lowest polymorph listed for this composition, the calculation gives 172 kJ/mol of formula units. As for the space group: P4/mmm (123).

Geometry as Quantum ESPRESSO input:
```
&SYSTEM
  ibrav = 0, nat = 4, ntyp = 3
/
ATOMIC_SPECIES
Tc 98.00 Tc.upf
Ag 107.87 Ag.upf
Ir 192.22 Ir.upf
CELL_PARAMETERS angstrom
3.7638 0.0000 0.0000
0.0000 3.7638 0.0000
0.0000 0.0000 4.5666
ATOMIC_POSITIONS angstrom
Tc 0.0000 0.0000 0.0000
Ag 0.0000 1.8819 2.2833
Ag 1.8819 0.0000 2.2833
Ir 1.8819 1.8819 0.0000
```

---

TbAu6: optimized geometry, PBE. Values from VASP.

Summary:
The electronic total energy is -26.3 eV for the cell shown. The value obtained for the calculated density is 14.9 g/cm³. For the formation energy from the elements, the calculation gives -0.289 eV/atom. For the energy relative to the lowest polymorph listed for this composition, the calculation gives 87 kJ/mol of formula units. As for the space group: P4/mmm (123).

Geometry as Quantum ESPRESSO input:
```
&SYSTEM
  ibrav = 0, nat = 7, ntyp = 2
/
ATOMIC_SPECIES
Tb 158.93 Tb.upf
Au 196.97 Au.upf
CELL_PARAMETERS angstrom
4.7945 0.0000 0.0000
0.0000 4.7945 0.0000
0.0000 0.0000 6.4895
ATOMIC_POSITIONS angstrom
Tb 0.0000 0.0000 0.0000
Au 0.0000 0.0000 3.2448
Au 0.0000 2.3973 1.7687
Au 0.0000 2.3973 4.7209
Au 2.3973 0.0000 1.7687
Au 2.3973 0.0000 4.7209
Au 2.3973 2.3973 0.0000
```

---

BaSn2As2: optimized geometry, PBE. Values from VASP.

Summary:
The electronic total energy is -42.7 eV for the cell shown. The value obtained for the calculated density is 5.9 g/cm³. For the formation energy from the elements, the calculation gives -0.428 eV/atom. As for the space group: I4/mmm (139).

Geometry as Quantum ESPRESSO input:
```
&SYSTEM
  ibrav = 0, nat = 10, ntyp = 3
/
ATOMIC_SPECIES
Ba 137.33 Ba.upf
Sn 118.71 Sn.upf
As 74.92 As.upf
CELL_PARAMETERS angstrom
5.4541 0.0000 0.0000
0.0000 5.4541 0.0000
0.0000 0.0000 9.9777
ATOMIC_POSITIONS angstrom
Ba 0.0000 0.0000 0.0000
Ba 2.7270 2.7270 4.9889
Sn 0.0000 0.0000 3.4579
Sn 0.0000 0.0000 6.5199
Sn 2.7270 2.7270 1.5310
Sn 2.7270 2.7270 8.4467
As 0.0000 2.7270 2.4944
As 0.0000 2.7270 7.4833
As 2.7270 0.0000 2.4944
As 2.7270 0.0000 7.4833
```

---

NdZr2Sb4: optimized geometry, PBE. Values from VASP.

Summary:
The electronic total energy is -85.0 eV for the cell shown. The value obtained for the calculated density is 6.8 g/cm³. As for the space group: Cmcm (63).

Geometry as Quantum ESPRESSO input:
```
&SYSTEM
  ibrav = 0, nat = 14, ntyp = 3
/
ATOMIC_SPECIES
Nd 144.24 Nd.upf
Zr 91.22 Zr.upf
Sb 121.76 Sb.upf
CELL_PARAMETERS angstrom
2.1000 -6.9843 0.0000
2.1000 6.9843 0.0000
0.0000 0.0000 13.6484
ATOMIC_POSITIONS angstrom
Nd 2.1000 5.4785 10.2363
Nd 2.1000 -5.4785 3.4121
Zr 2.1000 1.8769 7.5457
Zr 2.1000 1.8769 12.9269
Zr 2.1000 -1.8769 0.7215
Zr 2.1000 -1.8769 6.1027
Sb 0.0000 0.0000 0.0000
Sb 0.0000 0.0000 6.8242
Sb 2.1000 3.3707 1.7861
Sb 2.1000 3.3707 5.0381
Sb 2.1000 0.8799 10.2363
Sb 2.1000 -0.8799 3.4121
Sb 2.1000 -3.3707 8.6103
Sb 2.1000 -3.3707 11.8623
```

---

TlVNi2Br: optimized geometry, PBE. Values from VASP.

Summary:
The electronic total energy is -21.3 eV for the cell shown. The value obtained for the calculated density is 7.3 g/cm³. As for the space group: P4/mmm (123).

Geometry as Quantum ESPRESSO input:
```
&SYSTEM
  ibrav = 0, nat = 5, ntyp = 4
/
ATOMIC_SPECIES
Tl 204.38 Tl.upf
V 50.94 V.upf
Ni 58.69 Ni.upf
Br 79.90 Br.upf
CELL_PARAMETERS angstrom
4.6244 0.0000 0.0000
0.0000 4.6244 0.0000
0.0000 0.0000 4.8003
ATOMIC_POSITIONS angstrom
Tl 0.0000 0.0000 0.0000
V 2.3122 2.3122 2.4002
Ni 0.0000 2.3122 2.4002
Ni 2.3122 0.0000 2.4002
Br 2.3122 2.3122 0.0000
```

---

ErPS: optimized geometry, PBE. Values from VASP.

Summary:
The electronic total energy is -74.4 eV for the cell shown. The value obtained for the calculated density is 6.6 g/cm³. As for the space group: Pnma (62).

Geometry as Quantum ESPRESSO input:
```
&SYSTEM
  ibrav = 0, nat = 12, ntyp = 3
/
ATOMIC_SPECIES
Er 167.26 Er.upf
P 30.97 P.upf
S 32.06 S.upf
CELL_PARAMETERS angstrom
6.9331 0.0000 0.0000
0.0000 3.6346 0.0000
0.0000 0.0000 9.1418
ATOMIC_POSITIONS angstrom
Er 1.4446 0.9086 1.4718
Er 2.0219 2.7259 6.0427
Er 4.9111 0.9086 3.0991
Er 5.4884 2.7259 7.6700
P 0.6314 0.9086 4.2227
P 2.8352 2.7259 8.7936
P 4.0979 0.9086 0.3483
P 6.3017 2.7259 4.9192
S 0.6241 0.9086 7.7311
S 2.8425 2.7259 3.1602
S 4.0906 0.9086 5.9817
S 6.3090 2.7259 1.4107
```

---

V5Co2Pt4: optimized geometry, PBE. Values from VASP.

Summary:
The electronic total energy is -178.2 eV for the cell shown. The value obtained for the calculated density is 12.9 g/cm³. For the formation energy from the elements, the calculation gives -0.465 eV/atom. As for the space group: Pbam (55).

Geometry as Quantum ESPRESSO input:
```
&SYSTEM
  ibrav = 0, nat = 22, ntyp = 3
/
ATOMIC_SPECIES
V 50.94 V.upf
Co 58.93 Co.upf
Pt 195.08 Pt.upf
CELL_PARAMETERS angstrom
6.7578 0.0000 0.0000
0.0000 16.1705 0.0000
0.0000 0.0000 2.7119
ATOMIC_POSITIONS angstrom
V 0.0000 0.0000 0.0000
V 0.9804 6.9693 0.0000
V 1.6646 11.6113 0.0000
V 1.7143 3.5260 0.0000
V 2.3985 15.0545 0.0000
V 3.3789 8.0852 0.0000
V 4.3593 1.1160 0.0000
V 5.0435 12.6444 0.0000
V 5.0932 4.5592 0.0000
V 5.7773 9.2012 0.0000
Co 0.3444 4.9543 1.3559
Co 3.0345 13.0396 1.3559
Co 3.7233 3.1309 1.3559
Co 6.4134 11.2161 1.3559
Pt 0.4876 13.7327 1.3559
Pt 1.3718 9.2615 1.3559
Pt 2.0071 1.1762 1.3559
Pt 2.8913 5.6475 1.3559
Pt 3.8665 10.5230 1.3559
Pt 4.7507 14.9943 1.3559
Pt 5.3860 6.9090 1.3559
Pt 6.2702 2.4378 1.3559
```

---

AcNiP2: optimized geometry, PBE. Values from VASP.

Summary:
The electronic total energy is -70.4 eV for the cell shown. The value obtained for the calculated density is 7.5 g/cm³. For the formation energy from the elements, the calculation gives -0.687 eV/atom. For the energy relative to the lowest polymorph listed for this composition, the calculation gives 78 kJ/mol of formula units. As for the space group: R-3m (166).

Geometry as Quantum ESPRESSO input:
```
&SYSTEM
  ibrav = 0, nat = 12, ntyp = 3
/
ATOMIC_SPECIES
Ac 227.00 Ac.upf
Ni 58.69 Ni.upf
P 30.97 P.upf
CELL_PARAMETERS angstrom
4.1030 0.0000 0.0000
-2.0515 3.5533 0.0000
0.0000 0.0000 15.7493
ATOMIC_POSITIONS angstrom
Ac 0.0000 0.0000 0.0000
Ac 0.0000 2.3689 10.4995
Ac 2.0515 1.1844 5.2498
Ni 0.0000 0.0000 7.8747
Ni 0.0000 2.3689 2.6249
Ni 2.0515 1.1844 13.1244
P 0.0000 0.0000 3.2015
P 0.0000 0.0000 12.5478
P 0.0000 2.3689 7.2980
P 0.0000 2.3689 13.7011
P 2.0515 1.1844 2.0482
P 2.0515 1.1844 8.4513
```